a:
Density functional theory data (GGA-PBE) for a relaxed structure of YTl2Te.

Output
DOS(E_F)   13.567 states/eV/cell
Spin magnetization   0.00 μB per formula unit
Crystal system   cubic

a = 7.820 Å, b = 7.820 Å, c = 7.820 Å
α = 90.00°, β = 90.00°, γ = 90.00°
Space group Fm-3m (No. 225)
Asymmetric unit:
Y: 0.000 0.000 0.000 x4
Tl: 0.250 0.250 0.250 x8
Te: 0.000 0.000 0.500 x4

***

b:
Density functional theory data (GGA-PBE) for a relaxed structure of YTl2Te.

Output
DOS(E_F)   2.574 states/eV/cell
Spin magnetization   0.00 μB per formula unit
Crystal system   monoclinic

a = 5.182 Å, b = 3.951 Å, c = 5.759 Å
α = 90.00°, β = 99.47°, γ = 90.00°
Space group P2/m (No. 10)
Asymmetric unit:
Y: 0.000 0.000 0.000 x1
Tl: 0.000 0.500 0.500 x1
Tl: 0.500 0.000 0.500 x1
Te: 0.500 0.500 0.000 x1

***

Which structure is the least stable? The one labeled a.

***

a:
Density functional theory data (GGA-PBE) for a relaxed structure of YTl2Te.

Output
DOS(E_F)   3.867 states/eV/cell
Spin magnetization   0.00 μB per formula unit
Crystal system   monoclinic

a = 11.225 Å, b = 4.055 Å, c = 5.706 Å
α = 90.00°, β = 114.31°, γ = 90.00°
Space group Cm (No. 8)
Asymmetric unit:
Y: 0.000 0.000 0.000 x2
Tl: 0.247 0.000 0.597 x2
Tl: 0.490 0.000 0.444 x2
Te: 0.219 0.500 0.042 x2

***

b:
Density functional theory data (GGA-PBE) for a relaxed structure of YTl2Te.

Output
DOS(E_F)   12.079 states/eV/cell
Spin magnetization   0.00 μB per formula unit
Crystal system   tetragonal

a = 8.882 Å, b = 8.882 Å, c = 6.297 Å
α = 90.00°, β = 90.00°, γ = 90.00°
Space group I-42d (No. 122)
Asymmetric unit:
Y: 0.000 0.000 0.000 x4
Tl: 0.249 0.750 0.125 x8
Te: 0.000 0.000 0.500 x4

***

Which structure is the least stable? The one labeled b.

***

a:
Density functional theory data (GGA-PBE) for a relaxed structure of YTl2Te.

Output
DOS(E_F)   3.254 states/eV/cell
Spin magnetization   0.00 μB per formula unit
Crystal system   orthorhombic

a = 3.925 Å, b = 5.145 Å, c = 5.806 Å
α = 90.00°, β = 90.00°, γ = 90.00°
Space group Pmmm (No. 47)
Asymmetric unit:
Y: 0.000 0.000 0.000 x1
Tl: 0.000 0.500 0.500 x1
Tl: 0.500 0.000 0.500 x1
Te: 0.500 0.500 0.000 x1

***

b:
Density functional theory data (GGA-PBE) for a relaxed structure of YTl2Te.

Output
DOS(E_F)   8.940 states/eV/cell
Spin magnetization   0.00 μB per formula unit
Crystal system   trigonal

a = 4.0840 Å, b = 4.0840 Å, c = 27.5854 Å
α = 90.00°, β = 90.00°, γ = 120.00°
Space group R3m (No. 160, hexagonal axes)
Asymmetric unit:
Y: 0.0000 0.0000 0.0000 x3
Tl: 0.0000 0.0000 0.2501 x3
Tl: 0.0000 0.0000 0.4945 x3
Te: 0.0000 0.0000 0.7338 x3

***

Which structure is the least stable? The one labeled a.

***

a:
Density functional theory data (GGA-PBE) for a relaxed structure of Y2TlTe.

Output
DOS(E_F)   11.267 states/eV/cell
Spin magnetization   1.39 μB per formula unit
Crystal system   trigonal

a = 3.9321 Å, b = 3.9321 Å, c = 29.2725 Å
α = 90.00°, β = 90.00°, γ = 120.00°
Space group R3m (No. 160, hexagonal axes)
Asymmetric unit:
Y: 0.0000 0.0000 0.0000 x3
Y: 0.0000 0.0000 0.2374 x3
Tl: 0.0000 0.0000 0.7524 x3
Te: 0.0000 0.0000 0.5020 x3

***

b:
Density functional theory data (GGA-PBE) for a relaxed structure of Y2TlTe.

Output
DOS(E_F)   4.990 states/eV/cell
Spin magnetization   0.00 μB per formula unit
Crystal system   orthorhombic

a = 3.938 Å, b = 4.854 Å, c = 12.239 Å
α = 90.00°, β = 90.00°, γ = 90.00°
Space group Imm2 (No. 44)
Asymmetric unit:
Y: 0.000 0.000 0.000 x2
Y: 0.000 0.500 0.245 x2
Tl: 0.000 0.000 0.451 x2
Te: 0.000 0.500 0.701 x2

***

c:
Density functional theory data (GGA-PBE) for a relaxed structure of Y2TlTe.

Output
DOS(E_F)   4.250 states/eV/cell
Spin magnetization   0.00 μB per formula unit
Crystal system   orthorhombic

a = 3.782 Å, b = 5.145 Å, c = 5.769 Å
α = 90.00°, β = 90.00°, γ = 90.00°
Space group Pmmm (No. 47)
Asymmetric unit:
Y: 0.000 0.000 0.000 x1
Y: 0.000 0.500 0.500 x1
Tl: 0.500 0.000 0.500 x1
Te: 0.500 0.500 0.000 x1

***

d:
Density functional theory data (GGA-PBE) for a relaxed structure of Y2TlTe.

Output
DOS(E_F)   20.794 states/eV/cell
Spin magnetization   0.00 μB per formula unit
Crystal system   cubic

a = 7.627 Å, b = 7.627 Å, c = 7.627 Å
α = 90.00°, β = 90.00°, γ = 90.00°
Space group Fm-3m (No. 225)
Asymmetric unit:
Y: 0.250 0.250 0.250 x8
Tl: 0.000 0.000 0.000 x4
Te: 0.000 0.000 0.500 x4

***

Which structure is the least stable? The one labeled a.

***

a:
Density functional theory data (GGA-PBE) for a relaxed structure of Y2TlTe2.

Output
DOS(E_F)   10.664 states/eV/cell
Spin magnetization   0.00 μB per formula unit
Crystal system   tetragonal

a = 8.475 Å, b = 8.475 Å, c = 4.033 Å
α = 90.00°, β = 90.00°, γ = 90.00°
Space group P4/mbm (No. 127)
Asymmetric unit:
Y: 0.154 0.346 0.000 x4
Tl: 0.000 0.000 0.000 x2
Te: 0.146 0.646 0.500 x4

***

b:
Density functional theory data (GGA-PBE) for a relaxed structure of Y2TlTe2.

Output
DOS(E_F)   12.346 states/eV/cell
Spin magnetization   0.00 μB per formula unit
Crystal system   tetragonal

a = 8.707 Å, b = 8.707 Å, c = 3.867 Å
α = 90.00°, β = 90.00°, γ = 90.00°
Space group P4/mbm (No. 127)
Asymmetric unit:
Y: 0.149 0.351 0.000 x4
Tl: 0.000 0.000 0.500 x2
Te: 0.143 0.643 0.500 x4

***

c:
Density functional theory data (GGA-PBE) for a relaxed structure of Y2TlTe2.

Output
DOS(E_F)   14.028 states/eV/cell
Spin magnetization   0.00 μB per formula unit
Crystal system   tetragonal

a = 5.220 Å, b = 5.220 Å, c = 13.338 Å
α = 90.00°, β = 90.00°, γ = 90.00°
Space group I4/mmm (No. 139)
Asymmetric unit:
Y: 0.000 0.500 0.250 x4
Tl: 0.000 0.000 0.000 x2
Te: 0.000 0.000 0.364 x4

***

Which structure is the least stable? The one labeled c.

***

a:
Density functional theory data (GGA-PBE) for a relaxed structure of Y3TlTe.

Output
DOS(E_F)   3.472 states/eV/cell
Spin magnetization   0.00 μB per formula unit
Crystal system   cubic

a = 5.629 Å, b = 5.629 Å, c = 5.629 Å
α = 90.00°, β = 90.00°, γ = 90.00°
Space group Pm-3m (No. 221)
Asymmetric unit:
Y: 0.000 0.000 0.500 x3
Tl: 0.500 0.500 0.500 x1
Te: 0.000 0.000 0.000 x1

***

b:
Density functional theory data (GGA-PBE) for a relaxed structure of Y3TlTe.

Output
DOS(E_F)   24.159 states/eV/cell
Spin magnetization   0.00 μB per formula unit
Crystal system   orthorhombic

a = 12.055 Å, b = 3.969 Å, c = 12.594 Å
α = 90.00°, β = 90.00°, γ = 90.00°
Space group Pnma (No. 62)
Asymmetric unit:
Y: 0.059 0.250 0.131 x4
Y: 0.134 0.750 0.552 x4
Y: 0.220 0.250 0.782 x4
Tl: 0.020 0.750 0.322 x4
Te: 0.175 0.750 0.974 x4

***

Which structure is the least stable? The one labeled a.